## Li4TiMn3S8 (PBE)

Data for a relaxed Li4TiMn3S8 crystal.

Structure (CIF):
```
data_Li4TiMn3S8
_chemical_formula_sum 'Li12 Ti3 Mn9 S24'
_cell_length_a 7.1077
_cell_length_b 7.1077
_cell_length_c 17.9912
_cell_angle_alpha 90.00
_cell_angle_beta 90.00
_cell_angle_gamma 120.00
_space_group_name_H-M_alt 'R -3 m'
_space_group_IT_number 166
_space_group_name_Hall '-R 3 2"'
loop_
_atom_site_label
_atom_site_type_symbol
_atom_site_fract_x
_atom_site_fract_y
_atom_site_fract_z
Li1 Li 0.0000 0.0000 0.0000
Li2 Li 0.0000 0.5000 0.0000
Ti1 Ti 0.0000 0.0000 0.5000
Mn1 Mn 0.0000 0.5000 0.5000
S1 S 0.0000 0.0000 0.2427
S2 S 0.0032 0.5016 0.2437
```

Summary:
For the density of states at the Fermi level, the calculation gives 0.42 states/eV/atom. As for the formation energy without anion corrections: -996 meV/atom. For the total energy, the calculation gives -5.751 eV/atom. The volume comes out at 787 Å³ per cell.

***

## LiMnTlS3 (PBE)

Data for a relaxed LiMnTlS3 crystal.

Structure (CIF):
```
data_LiMnTlS3
_chemical_formula_sum 'Li2 Mn2 Tl2 S6'
_cell_length_a 7.646
_cell_length_b 3.612
_cell_length_c 9.450
_cell_angle_alpha 90.00
_cell_angle_beta 112.13
_cell_angle_gamma 90.00
_space_group_name_H-M_alt 'P 1 21/m 1'
_space_group_IT_number 11
loop_
_space_group_symop_operation_xyz
'x,y,z'
'-x,-y,-z'
'-x,y+1/2,-z'
'x,-y+1/2,z'
loop_
_atom_site_label
_atom_site_type_symbol
_atom_site_fract_x
_atom_site_fract_y
_atom_site_fract_z
Li1 Li 0.073 0.250 0.105
Mn1 Mn 0.323 0.750 0.351
Tl1 Tl 0.267 0.250 0.808
S1 S 0.124 0.250 0.363
S2 S 0.256 0.750 0.086
S3 S 0.461 0.750 0.619
```

Summary:
For the density of states at the Fermi level, the calculation gives 0.05 states/eV/atom. As for the formation energy without anion corrections: -630 meV/atom. For the total energy, the calculation gives -4.936 eV/atom. The volume comes out at 242 Å³ per cell.

***

Spin magnetization in μB/cell, matching the order above: 38.92 6.01